Entry from Alexandria via LeMat-Bulk: CuNi3N after structural relaxation (PBE-GGA).

Cell: 5.246 4.588 4.588 Å, 69.77 90.00 90.00°
Fractional positions:
Cu 0.000 0.000 0.000
Cu 0.500 0.016 0.016
Ni 0.000 0.515 0.515
Ni 0.251 0.010 0.507
Ni 0.251 0.507 0.010
Ni 0.500 0.503 0.503
Ni 0.749 0.010 0.507
Ni 0.749 0.507 0.010
N 0.000 0.273 0.273
N 0.500 0.744 0.744

## Properties
**Calculated density**: 8.130 Mg/m³
**Energy**: -59.0 eV per cell
**SG**: No. 38
**Crystal system**: orthorhombic
**ΔE_f (raw)**: 5 kJ per mole of atoms
**M_tot**: 0.00 μB/f.u.
**Excess energy over the best structure of this formula in the dataset**: 0.32 eV per formula unit